Entry from Alexandria: a relaxed structure of YEr5Tm (PBE).

POSCAR file:
```
YEr5Tm
1.0
5.784 -3.341 0.000
5.784 3.341 0.000
-4.284 0.000 11.338
Y Er Tm
2 10 2
Cartesian
2.571 3.148 8.503
4.713 -3.148 2.834
0.011 0.915 8.569
2.730 1.534 5.646
6.696 1.534 0.023
4.713 0.563 2.834
2.153 -0.915 2.900
5.131 0.915 8.438
2.571 -0.563 8.503
0.588 -1.534 11.315
4.554 -1.534 5.692
7.273 -0.915 2.769
2.892 1.671 0.000
0.750 -1.671 5.669
```

Properties
formation enthalpy at 0 K	19.8	kJ per mole of atoms
excess energy over the best structure of this formula in the dataset	0	meV per atom
ρ	8.3	g/cm3
volume	438	Å³ per cell